Entry 1:
! NiCl (GGA-PBE, relaxed); values from VASP
&SYSTEM
  ibrav = 0, nat = 4, ntyp = 2
/
ATOMIC_SPECIES
Cl 35.45 Cl.upf
Ni 58.69 Ni.upf
ATOMIC_POSITIONS angstrom
Cl 0.0000 0.0000 0.0719
Cl 1.7998 1.0391 3.2464
Ni 0.0000 0.0000 2.3090
Ni 1.7998 1.0391 5.4833
CELL_PARAMETERS angstrom
1.7998 -3.1174 0.0000
1.7998 3.1174 0.0000
0.0000 0.0000 6.3489
! uncorrected energy	-3.775	eV/atom
! total magnetization	1.0	μB/f.u.

---

Entry 2:
! Pr2SmGaBr3 (GGA-PBE, relaxed); values from VASP
&SYSTEM
  ibrav = 0, nat = 7, ntyp = 4
/
ATOMIC_SPECIES
Br 79.90 Br.upf
Ga 69.72 Ga.upf
Pr 140.91 Pr.upf
Sm 150.36 Sm.upf
ATOMIC_POSITIONS angstrom
Br 3.0058 0.0000 0.0000
Br 0.0000 3.0058 0.0000
Br 3.0058 3.0058 3.0034
Ga 0.0000 0.0000 3.0034
Pr 3.0058 0.0000 3.0034
Pr 0.0000 3.0058 3.0034
Sm 0.0000 0.0000 0.0000
CELL_PARAMETERS angstrom
6.0117 0.0000 0.0000
0.0000 6.0117 0.0000
0.0000 0.0000 6.0068
! uncorrected energy	-4.501	eV/atom
! total magnetization	0.0	μB/f.u.

---

Entry 3:
! DyHo2In3Pd2Au (GGA-PBE, relaxed); values from VASP
&SYSTEM
  ibrav = 0, nat = 9, ntyp = 5
/
ATOMIC_SPECIES
Au 196.97 Au.upf
Dy 162.50 Dy.upf
Ho 164.93 Ho.upf
In 114.82 In.upf
Pd 106.42 Pd.upf
ATOMIC_POSITIONS angstrom
Au 0.0000 0.0000 7.7883
Dy 0.0000 0.0000 3.1599
Ho 0.0000 4.0145 2.3154
Ho 0.0000 -4.0145 2.3154
In 1.9065 4.9298 4.9456
In 1.9065 0.0000 5.6890
In 1.9065 -4.9298 4.9456
Pd 1.9065 2.2576 3.8965
Pd 1.9065 -2.2576 3.8965
CELL_PARAMETERS angstrom
3.8131 0.0000 0.0000
0.0000 6.7535 3.8953
0.0000 -6.7535 3.8953
! uncorrected energy	-4.733	eV/atom
! total magnetization	0.0	μB/f.u.

---

Entry 4:
! Nd2HoSi4Au4 (GGA-PBE, relaxed); values from VASP
&SYSTEM
  ibrav = 0, nat = 11, ntyp = 4
/
ATOMIC_SPECIES
Au 196.97 Au.upf
Ho 164.93 Ho.upf
Nd 144.24 Nd.upf
Si 28.09 Si.upf
ATOMIC_POSITIONS angstrom
Au -0.0159 4.5068 4.3745
Au -0.0476 13.5039 13.1073
Au 1.1661 6.1034 8.4072
Au -1.7577 0.8437 2.4523
Ho 0.0000 0.0000 0.0000
Nd 1.1827 1.4156 3.8570
Nd -1.7743 5.5315 7.0024
Si -0.0288 8.1674 7.9275
Si -0.0347 9.8433 9.5542
Si 1.1723 4.3391 6.6947
Si -1.7640 2.6079 4.1647
CELL_PARAMETERS angstrom
2.9121 8.5861 9.1836
-2.9757 9.4246 8.2982
-0.5281 -11.0637 -6.6223
! uncorrected energy	-5.177	eV/atom
! total magnetization	0.0	μB/f.u.

---

- Which value of uncorrected energy does entry 1 give?
  -3.775 eV/atom